Density functional theory data (GGA-PBE) for a relaxed structure of CeSc6Tl.

POSCAR file:
```
CeSc6Tl
1.0
4.589 0.000 0.000
0.000 4.589 0.000
0.000 0.000 9.316
Ce Sc Tl
1 6 1
direct
0.000 0.000 0.000
0.000 0.500 0.255
0.000 0.500 0.745
0.500 0.000 0.255
0.500 0.000 0.745
0.500 0.500 0.000
0.500 0.500 0.500
0.000 0.000 0.500
```

Calculated values
Formation energy = -2.59 kJ/mol of atoms
Mass density = 5.20 Mg/m³
Total magnetization = 2.76 μB/f.u.
DOS at the Fermi energy = 15.1 states/eV/cell